A plane-wave DFT calculation with PBE was carried out for a geometry-optimized CdCoBW structure.

The total magnetization comes out at 1.30 μB per formula unit. The relative energy among the computed polymorphs is 0 meV/atom. For the total DFT energy (no corrections), the calculation gives -23.16 eV/cell. For the volume, the calculation gives 13.23 Å³/atom.

Unit cell a=4.2138 b=4.2138 c=4.2138 alpha=60.00 beta=60.00 gamma=60.00
Closest atoms and distances in Å follow each position.
Element x y z (fractional)
Cd  0.0000  0.0000  0.0000  4 W 2.58, 4 Co 2.58
Co  0.7500  0.7500  0.7500  4 Cd 2.58, 4 B 2.58
B  0.5000  0.5000  0.5000  4 W 2.58, 4 Co 2.58
W  0.2500  0.2500  0.2500  4 Cd 2.58, 4 B 2.58